Compound: ZrAlTl
Source: Alexandria
Functional: SCAN
Structure: PBEsol geometry

a = 3.1587 Å, b = 3.1587 Å, c = 7.3489 Å
α = 90.00°, β = 90.00°, γ = 120.00°
Last column: nearest neighbours and their distance in Å.
Sites, in units of the cell vectors:
Zr  0.0000  0.0000  0.0000  3 Al 2.95, 6 Zr 3.16, 3 Tl 3.17
Al  0.6667  0.3333  0.6851  3 Zr 2.95, 3 Tl 3.04, 6 Al 3.16
Tl  0.3333  0.6667  0.3535  3 Al 3.04, 6 Tl 3.16, 3 Zr 3.17

Summary:
As for the density of states at the Fermi level: 2.6 states/eV/cell. The electronic total energy comes out at -36.943 eV per atom.

Compound: Zr2AlTl
Source: Alexandria
Functional: SCAN
Structure: PBEsol geometry

a = 5.2864 Å, b = 5.2864 Å, c = 5.2864 Å
α = 131.66°, β = 131.66°, γ = 70.77°
Last column: nearest neighbours and their distance in Å.
Sites, in units of the cell vectors:
Zr  0.2500  0.7500  0.5000  4 Tl 3.05, 4 Al 3.05, 4 Zr 3.06
Zr  0.7500  0.2500  0.5000  4 Tl 3.05, 4 Al 3.05, 4 Zr 3.06
Al  0.0000  0.0000  0.0000  8 Zr 3.05, 4 Tl 3.06
Tl  0.5000  0.5000  0.0000  8 Zr 3.05, 4 Al 3.06

Summary:
As for the density of states at the Fermi level: 2.3 states/eV/cell. The electronic total energy comes out at -35.755 eV per atom.

Compound: Zr2AlTl
Source: Alexandria
Functional: SCAN
Structure: PBEsol geometry

a = 4.3346 Å, b = 4.3346 Å, c = 4.3081 Å
α = 90.00°, β = 90.00°, γ = 90.00°
Last column: nearest neighbours and their distance in Å.
Sites, in units of the cell vectors:
Zr  0.0000  0.5000  0.0000  4 Tl 3.06, 4 Al 3.06, 4 Zr 3.06
Zr  0.5000  0.0000  0.0000  4 Tl 3.06, 4 Al 3.06, 4 Zr 3.06
Al  0.0000  0.0000  0.5000  8 Zr 3.06, 4 Tl 3.06
Tl  0.5000  0.5000  0.5000  8 Zr 3.06, 4 Al 3.06

Summary:
As for the density of states at the Fermi level: 2.3 states/eV/cell. The electronic total energy comes out at -35.743 eV per atom.

Compound: ZrAl2Tl
Source: Alexandria
Functional: SCAN
Structure: PBEsol geometry

a = 9.6837 Å, b = 9.6837 Å, c = 9.6837 Å
α = 18.90°, β = 18.90°, γ = 18.90°
Last column: nearest neighbours and their distance in Å.
Sites, in units of the cell vectors:
Zr  0.0000  0.0000  0.0000  6 Al 2.93, 6 Zr 3.18
Al  0.2532  0.2532  0.2532  3 Zr 2.93, 3 Tl 3.08, 6 Al 3.18
Al  0.7468  0.7468  0.7468  3 Zr 2.93, 3 Tl 3.08, 6 Al 3.18
Tl  0.5000  0.5000  0.5000  6 Al 3.08, 6 Tl 3.18

Summary:
As for the density of states at the Fermi level: 2.3 states/eV/cell. The value obtained for the energy above the most stable polymorph in this dataset is 119 meV/atom. The electronic total energy comes out at -29.642 eV per atom.

no.,magnetic moment (μB/atom)
1,0.0001
2,0.0000
3,0.0000
4,0.0000